Arrangement w

Density functional theory data (PBE-GGA) for a relaxed TaIn3Ag crystal.

```
5
Lattice="5.154 0.000 0.000 0.000 5.154 0.000 0.000 0.000 5.154" Properties=species:S:1:pos:R:3 pbc="T T T"
In 0.000 0.000 2.577
In 2.577 0.000 0.000
Ag 0.000 0.000 0.000
In 0.000 2.577 0.000
Ta 2.577 2.577 2.577
```

Computed properties:
total magnetic moment = 2.06 μB/f.u.
SG = Pm-3m
theoretical density = 7.68 g cm⁻³

***

Arrangement x

Density functional theory data (PBE-GGA) for a relaxed TaIn3Ag crystal.

```
5
Lattice="5.414 0.000 0.000 0.000 5.414 0.000 0.000 0.000 5.414" Properties=species:S:1:pos:R:3 pbc="T T T"
Ag 2.707 2.707 2.707
In 2.707 0.000 0.000
Ta 0.000 0.000 0.000
In 0.000 0.000 2.707
In 0.000 2.707 0.000
```

Computed properties:
total magnetic moment = 0.00 μB/f.u.
SG = Pm-3m
theoretical density = 6.62 g cm⁻³

***

Relative stability in meV/atom, measured from the most stable structure: arrangement w 308; arrangement x 0

***

Arrangement w

Density functional theory data (PBE-GGA) for a relaxed Tb4InAg2 crystal.

```
7
Lattice="-4.573 1.940 0.755 -3.225 0.398 -3.833 -5.924 -7.798 0.882" Properties=species:S:1:pos:R:3 pbc="T T T"
Tb -8.068 -5.845 -0.405
Tb -9.851 -2.960 -1.899
Ag -8.798 -0.243 -2.503
Tb -3.870 -2.500 -0.297
Ag -4.924 -5.217 0.308
Tb -5.653 0.385 -1.791
In 0.000 0.000 0.000
```

Computed properties:
total magnetic moment = 0.00 μB/f.u.
SG = R-3m
theoretical density = 7.81 g cm⁻³

***

Arrangement x

Density functional theory data (PBE-GGA) for a relaxed Tb4InAg2 crystal.

```
7
Lattice="-0.676 -5.126 0.266 2.263 -3.093 -3.480 7.133 -3.358 3.773" Properties=species:S:1:pos:R:3 pbc="T T T"
Tb 2.089 -5.576 -1.386
Tb 6.631 -6.001 1.945
Tb 4.533 -3.115 1.866
Ag 6.665 -8.695 0.511
Ag 2.056 -2.883 0.048
In 0.000 0.000 0.000
Tb 4.187 -8.463 -1.307
```

Computed properties:
total magnetic moment = 0.01 μB/f.u.
SG = R-3m
theoretical density = 8.42 g cm⁻³

***

Relative stability in meV/atom, measured from the most stable structure: arrangement w 130; arrangement x 0

***

Arrangement w

Density functional theory data (PBE-GGA) for a relaxed Tb4In3Ag crystal.

```
8
Lattice="3.787 0.000 0.000 0.000 4.812 0.000 0.000 0.000 11.919" Properties=species:S:1:pos:R:3 pbc="T T T"
In 0.000 2.406 6.899
In 0.000 0.000 5.011
Tb 1.894 2.406 4.019
Tb 0.000 0.000 1.783
Tb 0.000 2.406 10.190
Ag 1.894 2.406 0.909
Tb 1.894 0.000 7.842
In 1.894 0.000 11.025
```

Computed properties:
total magnetic moment = 0.00 μB/f.u.
SG = Pmm2
theoretical density = 8.32 g cm⁻³

***

Arrangement x

Density functional theory data (PBE-GGA) for a relaxed Tb4In3Ag crystal.

```
8
Lattice="-0.642 -3.305 -1.233 -0.336 -1.190 3.365 -15.980 3.270 -0.438" Properties=species:S:1:pos:R:3 pbc="T T T"
In -4.348 -1.458 0.960
In -12.610 0.233 0.734
Ag -0.489 -2.248 1.066
Tb -10.049 2.056 -0.276
In -8.479 -0.613 0.847
Tb -5.930 1.213 -0.163
Tb -1.835 0.375 -0.050
Tb -14.145 2.894 -0.388
```

Computed properties:
total magnetic moment = 0.00 μB/f.u.
SG = P4/mmm
theoretical density = 8.61 g cm⁻³

***

Relative stability in meV/atom, measured from the most stable structure: arrangement w 50; arrangement x 0

***

Arrangement w

Density functional theory data (PBE-GGA) for a relaxed Tb8InAg2 crystal.

```
11
Lattice="-1.966 1.582 4.833 -1.343 -8.282 0.538 7.929 2.702 0.714" Properties=species:S:1:pos:R:3 pbc="T T T"
Tb 2.240 0.273 0.767
Ag 5.103 -0.646 0.660
Tb -0.209 -4.983 2.995
Tb 3.372 -2.882 2.222
In -0.983 0.791 2.417
Tb 1.248 -1.115 3.864
Tb 4.829 0.985 3.091
Tb 2.380 -4.270 5.319
Tb 0.095 -2.268 0.726
Ag 1.483 -4.934 0.592
Tb 4.525 -1.730 5.360
```

Computed properties:
total magnetic moment = 0.00 μB/f.u.
SG = C2/m
theoretical density = 8.25 g cm⁻³

***

Arrangement x

Density functional theory data (PBE-GGA) for a relaxed Tb8InAg2 crystal.

```
11
Lattice="-1.045 -3.465 3.787 7.216 -3.875 -1.554 0.409 7.758 3.587" Properties=species:S:1:pos:R:3 pbc="T T T"
Tb 5.144 -0.552 4.537
Ag 2.160 0.189 4.392
In -0.522 -1.732 1.894
Tb 0.197 3.647 3.391
Tb 2.772 -2.309 2.275
Tb 1.352 2.451 6.237
Tb 1.436 0.970 1.284
Tb 6.382 -3.229 2.430
Tb 3.808 2.727 3.545
Tb 5.228 -2.033 -0.417
Ag 4.420 0.229 1.429
```

Computed properties:
total magnetic moment = 0.00 μB/f.u.
SG = C2/m
theoretical density = 8.53 g cm⁻³

***

Relative stability in meV/atom, measured from the most stable structure: arrangement w 103; arrangement x 0

***

Arrangement w

Density functional theory data (PBE-GGA) for a relaxed Tb4InAg3 crystal.

```
8
Lattice="3.704 0.000 0.000 0.000 4.849 0.000 0.000 0.000 11.466" Properties=species:S:1:pos:R:3 pbc="T T T"
Tb 0.000 0.000 1.790
Ag 1.852 0.000 10.537
Ag 0.000 0.000 4.876
In 1.852 2.424 0.894
Tb 1.852 2.424 4.129
Tb 1.852 0.000 7.361
Tb 0.000 2.424 9.661
Ag 0.000 2.424 6.616
```

Computed properties:
total magnetic moment = 0.00 μB/f.u.
SG = Pmm2
theoretical density = 8.66 g cm⁻³

***

Arrangement x

Density functional theory data (PBE-GGA) for a relaxed Tb4InAg3 crystal.

```
8
Lattice="4.998 0.000 1.475 2.281 4.447 1.475 0.049 0.030 9.038" Properties=species:S:1:pos:R:3 pbc="T T T"
Tb 6.366 3.889 6.045
Tb 2.799 1.710 8.925
Tb 0.962 0.588 5.944
In 0.000 0.000 0.000
Ag 1.861 1.137 2.901
Ag 3.664 2.239 5.994
Tb 4.529 2.767 3.064
Ag 5.468 3.341 9.087
```

Computed properties:
total magnetic moment = 0.00 μB/f.u.
SG = R-3m
theoretical density = 8.90 g cm⁻³

***

Relative stability in meV/atom, measured from the most stable structure: arrangement w 44; arrangement x 0

***

Arrangement w

Density functional theory data (PBE-GGA) for a relaxed Tb2In2Ag crystal.

```
10
Lattice="4.719 0.000 0.000 2.359 5.580 -0.478 2.359 0.004 9.890" Properties=species:S:1:pos:R:3 pbc="T T T"
Tb 4.719 3.915 6.237
Tb 4.719 1.670 3.174
In 2.359 1.612 5.532
Tb 7.078 1.388 8.776
Ag 4.719 0.562 6.479
In 7.078 3.972 3.879
Tb 2.359 4.196 0.636
In 2.359 1.042 1.079
Ag 4.719 5.023 2.933
In 7.078 4.542 8.332
```

Computed properties:
total magnetic moment = 0.00 μB/f.u.
SG = C2/m
theoretical density = 8.36 g cm⁻³

***

Arrangement x

Density functional theory data (PBE-GGA) for a relaxed Tb2In2Ag crystal.

```
5
Lattice="3.505 0.000 0.000 0.000 4.515 -1.465 0.000 0.069 7.901" Properties=species:S:1:pos:R:3 pbc="T T T"
In 1.752 1.420 4.376
Ag 1.752 0.512 1.578
In 1.752 2.305 -0.586
Tb 0.000 3.158 2.041
Tb 0.000 4.226 5.333
```

Computed properties:
total magnetic moment = 0.00 μB/f.u.
SG = Amm2
theoretical density = 8.68 g cm⁻³

***

Relative stability in meV/atom, measured from the most stable structure: arrangement w 11; arrangement x 0

***

Arrangement w

Density functional theory data (PBE-GGA) for a relaxed In3AgTe4 crystal.

```
8
Lattice="6.773 0.000 0.000 0.000 6.773 0.000 -3.387 -3.387 6.798" Properties=species:S:1:pos:R:3 pbc="T T T"
Te 5.141 5.141 1.682
In 3.387 3.387 0.000
Te -1.754 1.754 5.116
In 0.000 3.387 3.399
Te 1.754 -1.754 5.116
Ag 0.000 0.000 0.000
Te 1.633 1.633 1.682
In 3.387 0.000 3.399
```

Computed properties:
total magnetic moment = 0.00 μB/f.u.
SG = I-42m
theoretical density = 5.13 g cm⁻³

***

Arrangement x

Density functional theory data (PBE-GGA) for a relaxed In3AgTe4 crystal.

```
8
Lattice="4.578 0.000 0.000 0.000 4.578 0.000 0.000 0.000 14.902" Properties=species:S:1:pos:R:3 pbc="T T T"
In 2.289 2.289 11.584
In 2.289 2.289 3.318
In 0.000 0.000 7.451
Te 2.289 0.000 5.025
Ag 0.000 0.000 0.000
Te 0.000 2.289 9.876
Te 2.289 0.000 13.302
Te 0.000 2.289 1.600
```

Computed properties:
total magnetic moment = 0.00 μB/f.u.
SG = P-4m2
theoretical density = 5.12 g cm⁻³

***

Relative stability in meV/atom, measured from the most stable structure: arrangement w 30; arrangement x 0

***

Arrangement w

Density functional theory data (PBE-GGA) for a relaxed ThInAg2 crystal.

```
4
Lattice="3.400 0.000 0.000 0.000 3.400 0.000 0.000 0.000 7.996" Properties=species:S:1:pos:R:3 pbc="T T T"
Ag 0.000 0.000 1.805
Ag 0.000 0.000 6.191
In 1.700 1.700 0.000
Th 1.700 1.700 3.998
```

Computed properties:
total magnetic moment = 0.00 μB/f.u.
SG = P4/mmm
theoretical density = 10.11 g cm⁻³

***

Arrangement x

Density functional theory data (PBE-GGA) for a relaxed ThInAg2 crystal.

```
4
Lattice="-4.889 1.300 0.471 -3.635 -3.147 -1.642 -2.962 -2.423 3.342" Properties=species:S:1:pos:R:3 pbc="T T T"
In 0.000 0.000 0.000
Ag -8.615 -3.202 1.628
Ag -2.872 -1.067 0.543
Th -5.743 -2.135 1.086
```

Computed properties:
total magnetic moment = 0.00 μB/f.u.
SG = Fm-3m
theoretical density = 10.07 g cm⁻³

***

Relative stability in meV/atom, measured from the most stable structure: arrangement w 156; arrangement x 0

***

Arrangement w

Density functional theory data (PBE-GGA) for a relaxed Ti2In2Ag crystal.

```
10
Lattice="-6.207 -1.859 -2.882 1.259 -6.778 1.662 -1.808 0.535 3.550" Properties=species:S:1:pos:R:3 pbc="T T T"
Ti -5.706 -3.627 -0.085
In -1.137 -6.473 0.395
Ti -1.051 -4.476 2.415
Ag -2.474 -4.319 -0.610
Ag 0.000 0.000 0.000
In -4.510 -5.952 -1.401
Ti -2.837 -1.434 1.046
Ti -3.920 -6.669 1.283
In -3.811 -2.165 -1.616
In -0.438 -2.686 0.181
```

Computed properties:
total magnetic moment = 0.00 μB/f.u.
SG = P4/mbm
theoretical density = 7.12 g cm⁻³

***

Arrangement x

Density functional theory data (PBE-GGA) for a relaxed Ti2In2Ag crystal.

```
10
Lattice="-0.836 -5.074 -6.441 5.060 -5.414 3.608 -2.406 -1.338 1.366" Properties=species:S:1:pos:R:3 pbc="T T T"
In 2.116 -5.334 1.958
In -0.520 -3.270 -0.662
Ag 0.000 0.000 0.000
Ag 2.112 -5.244 -1.417
Ti 0.050 -3.700 -3.535
Ti 2.348 -7.818 -3.523
In -0.297 -6.492 -3.425
Ti 4.174 -6.788 0.701
In 2.339 -8.556 -0.805
Ti 1.876 -2.669 0.689
```

Computed properties:
total magnetic moment = 1.56 μB/f.u.
SG = P4/mbm
theoretical density = 6.89 g cm⁻³

***

Relative stability in meV/atom, measured from the most stable structure: arrangement w 0; arrangement x 25

***

Arrangement w

Density functional theory data (PBE-GGA) for a relaxed TiZnInAg crystal.

```
4
Lattice="-1.987 -2.139 -0.779 2.153 -2.102 0.279 -1.907 -0.958 7.494" Properties=species:S:1:pos:R:3 pbc="T T T"
In -1.487 -2.910 5.921
Ag -1.039 -0.522 4.083
Zn -0.526 -2.427 2.145
Ti -0.184 -0.093 0.725
```

Computed properties:
total magnetic moment = 0.00 μB/f.u.
SG = P4mm
theoretical density = 7.84 g cm⁻³

***

Arrangement x

Density functional theory data (PBE-GGA) for a relaxed TiZnInAg crystal.

```
4
Lattice="-4.218 -1.806 0.788 -0.888 -4.425 -1.142 -0.578 -3.194 3.337" Properties=species:S:1:pos:R:3 pbc="T T T"
Ti -1.421 -2.356 0.746
Ag -2.842 -4.713 1.492
In -4.263 -7.069 2.238
Zn 0.000 0.000 0.000
```

Computed properties:
total magnetic moment = 0.28 μB/f.u.
SG = F-43m
theoretical density = 7.82 g cm⁻³

***

Relative stability in meV/atom, measured from the most stable structure: arrangement w 0; arrangement x 138

***

Arrangement w

Density functional theory data (PBE-GGA) for a relaxed Tl2In2Ag crystal.

```
10
Lattice="7.344 0.000 0.000 0.000 7.344 0.000 0.000 0.000 5.203" Properties=species:S:1:pos:R:3 pbc="T T T"
In 4.741 1.069 0.000
In 6.275 4.741 0.000
Tl 2.424 1.248 2.602
Ag 0.000 0.000 0.000
Tl 1.248 4.920 2.602
Tl 6.096 2.424 2.602
Ag 3.672 3.672 0.000
Tl 4.920 6.096 2.602
In 1.069 2.603 0.000
In 2.603 6.275 0.000
```

Computed properties:
total magnetic moment = 0.00 μB/f.u.
SG = P4/mbm
theoretical density = 8.83 g cm⁻³

***

Arrangement x

Density functional theory data (PBE-GGA) for a relaxed Tl2In2Ag crystal.

```
5
Lattice="-1.074 0.765 -3.925 -1.297 -3.911 -0.408 -9.017 0.754 0.430" Properties=species:S:1:pos:R:3 pbc="T T T"
In -5.750 -2.365 -1.072
Tl -8.783 -1.240 -2.207
Tl -2.605 -1.151 -1.696
Ag 0.000 0.000 0.000
In -5.638 -0.027 -2.831
```

Computed properties:
total magnetic moment = 0.00 μB/f.u.
SG = I4/mmm
theoretical density = 8.43 g cm⁻³

***

Arrangement y

Density functional theory data (PBE-GGA) for a relaxed Tl2In2Ag crystal.

```
10
Lattice="-4.893 2.501 -5.357 -4.612 -5.965 1.428 -2.304 2.572 3.305" Properties=species:S:1:pos:R:3 pbc="T T T"
In -4.963 -2.245 1.744
Ag 0.000 0.000 0.000
Ag -4.753 -1.732 -1.964
In -3.554 1.196 0.048
In -6.846 1.353 -2.368
Tl -5.618 -4.190 -0.655
Tl -3.887 0.726 -3.274
In -8.255 -2.088 -0.672
Tl -7.157 -1.764 -3.615
Tl -2.349 -1.700 -0.314
```

Computed properties:
total magnetic moment = 0.00 μB/f.u.
SG = P4/mbm
theoretical density = 8.80 g cm⁻³

***

Relative stability in meV/atom, measured from the most stable structure: arrangement w 0; arrangement x 139; arrangement y 90

***

Arrangement w

Density functional theory data (PBE-GGA) for a relaxed TlIn2Ag2 crystal.

```
10
Lattice="8.787 0.000 0.000 0.000 8.787 0.000 0.000 0.000 3.061" Properties=species:S:1:pos:R:3 pbc="T T T"
Ag 5.862 7.318 1.531
In 5.536 1.142 0.000
Ag 2.924 1.469 1.531
In 3.251 7.644 0.000
In 1.142 3.251 0.000
Ag 1.469 5.862 1.531
Tl 4.393 4.393 0.000
In 7.644 5.536 0.000
Tl 0.000 0.000 0.000
Ag 7.318 2.924 1.531
```

Computed properties:
total magnetic moment = 0.00 μB/f.u.
SG = P4/mbm
theoretical density = 9.13 g cm⁻³

***

Arrangement x

Density functional theory data (PBE-GGA) for a relaxed TlIn2Ag2 crystal.

```
5
Lattice="-1.532 -2.894 2.689 2.268 -3.006 -1.943 5.658 -1.744 4.684" Properties=species:S:1:pos:R:3 pbc="T T T"
Ag 2.247 -3.794 3.873
Ag 4.147 -3.850 1.557
Tl 0.000 0.000 0.000
In 1.505 -2.691 1.299
In 4.890 -4.953 4.131
```

Computed properties:
total magnetic moment = 0.00 μB/f.u.
SG = I4/mmm
theoretical density = 8.67 g cm⁻³

***

Relative stability in meV/atom, measured from the most stable structure: arrangement w 0; arrangement x 46